Entry 1:
Entry from the Alexandria database: a relaxed Cs2NaPtCl6 crystal (PBE).

The space group is P-3m1 (No. 164) and the conventional cell measures 7.4031, 7.4031 and 6.7157 Å, with angles of 90.00, 90.00 and 120.00 degrees. The asymmetric unit holds Cs at (0.3333, 0.6667, 0.2083), Na at (0.0000, 0.0000, 0.5000), Pt at (0.0000, 0.0000, 0.0000) and Cl at (0.1560, 0.3120, 0.7878).

The calculation puts the total energy at -3.345 eV/atom.

---

Entry 2:
Entry from the Alexandria database: a relaxed Ga3Pb5I12 crystal (PBE).

The space group is Ia-3d (No. 230) and the conventional cell measures 19.652, 19.652 and 19.652 Å, with angles of 90.00, 90.00 and 90.00 degrees. The asymmetric unit holds Ga at (0.000, 0.250, 0.125), Pb at (0.000, 0.000, 0.000), Pb at (0.000, 0.250, 0.375) and I at (0.024, 0.071, 0.649).

The calculation puts the total energy at -2.691 eV/atom.

---

Entry 3:
Entry from the Alexandria database: a relaxed Tb2PmY6Th crystal (PBE).

The space group is C2/c (No. 15) and the conventional cell measures 9.256, 14.933 and 9.627 Å, with angles of 90.00, 97.79 and 90.00 degrees. The asymmetric unit holds Tb at (0.244, 0.048, 0.052), Pm at (0.000, 0.406, 0.250), Y at (0.064, 0.179, 0.442), Y at (0.095, 0.391, 0.615), Y at (0.204, 0.223, 0.819) and Th at (0.000, 0.029, 0.750).

The value obtained for the formation energy is 150 meV/atom. The calculation puts the total energy at -5.872 eV/atom.

---

Entry 4:
Entry from the Alexandria database: a relaxed Hf2ZrIn crystal (PBE).

The space group is P4/mmm (No. 123) and the conventional cell measures 3.149, 3.149 and 9.103 Å, with angles of 90.00, 90.00 and 90.00 degrees. The asymmetric unit holds Hf at (0.000, 0.000, 0.249), Zr at (0.500, 0.500, 0.000) and In at (0.500, 0.500, 0.500).

The value obtained for the formation energy is -85 meV/atom. The calculation puts the total energy at -7.883 eV/atom.